Compound: FeCuSi2
Source: Alexandria via LeMat-Bulk
Functional: SCAN
Structure: PBEsol geometry

Calculated values
- N(E_F) (states/eV/cell) = 1.3
- final energy (eV/atom) = -13.361
- total magnetic moment (μB/f.u.) = 0.88
- formation energy from raw total energies (eV per atom) = -0.021
- V (A^3/atom) = 11.43

```
data_FeCuSi2
_space_group_name_H-M_alt 'P m m 2'
_space_group_IT_number 25
_space_group_name_Hall 'P 2 -2'
_cell_length_a 2.697
_cell_length_b 4.233
_cell_length_c 4.006
_cell_angle_alpha 90.00
_cell_angle_beta 90.00
_cell_angle_gamma 90.00
loop_
_atom_site_label
_atom_site_type_symbol
_atom_site_fract_x
_atom_site_fract_y
_atom_site_fract_z
Fe1 Fe 0.000 0.000 0.000
Cu1 Cu 0.500 0.500 0.235
Si1 Si 0.000 0.500 0.740
Si2 Si 0.500 0.000 0.515
```